An optimized crystal structure of ZrTlIrRu. Source: Alexandria, functional PBE.

abc: 6.5665 6.5665 6.5665
angles: 90.00 90.00 90.00
Fractional coordinates of all 16 atoms:
Zr: 0.0000 0.0000 0.0000
Zr: 0.0000 0.5000 0.5000
Zr: 0.5000 0.0000 0.5000
Zr: 0.5000 0.5000 0.0000
Tl: 0.0000 0.0000 0.5000
Tl: 0.0000 0.5000 0.0000
Tl: 0.5000 0.0000 0.0000
Tl: 0.5000 0.5000 0.5000
Ir: 0.2500 0.2500 0.2500
Ir: 0.2500 0.7500 0.7500
Ir: 0.7500 0.2500 0.7500
Ir: 0.7500 0.7500 0.2500
Ru: 0.2500 0.2500 0.7500
Ru: 0.2500 0.7500 0.2500
Ru: 0.7500 0.2500 0.2500
Ru: 0.7500 0.7500 0.7500

Properties
Total energy ... -119.94 eV/cell
ΔH_f (0 K) ... -5.38 kcal/mol of atoms